First-principles (GGA-PBE) data for a relaxed Y4CoSi crystal, as listed in the Alexandria database.

Computed properties:
Crystal system ... cubic
ΔE_f (raw) ... 0.81 eV/atom

extended XYZ file:
```
6
Lattice="-4.536 2.249 3.323 -0.572 5.990 0.683 -4.562 2.933 -2.694" Properties=species:S:1:pos:R:3 pbc="T T T"
Y -3.912 7.185 0.834
Y -5.895 5.314 2.154
Y -5.908 5.656 -0.856
Y -3.626 4.189 0.492
Co -7.252 8.380 0.984
Si 0.000 0.000 0.000
```



First-principles (GGA-PBE) data for a relaxed Ba2PRu crystal, as listed in the Alexandria database.

Computed properties:
Crystal system ... tetragonal
Formation energy from the elements ... -0.2900 eV/atom

extended XYZ file:
```
8
Lattice="-1.494 11.234 3.514 -4.675 2.685 -10.570 -5.133 6.445 -2.753" Properties=species:S:1:pos:R:3 pbc="T T T"
Ru 0.000 0.000 0.000
Ru -4.855 12.319 -1.383
Ba -3.089 11.130 0.863
Ba -5.598 13.766 -4.017
Ba -5.263 9.537 -2.677
Ba -5.472 14.845 0.298
P -3.084 6.960 -3.528
P -6.446 8.045 -8.426
```



First-principles (GGA-PBE) data for a relaxed CdGaCuNi crystal, as listed in the Alexandria database.

Computed properties:
Crystal system ... cubic
Formation energy from the elements ... -0.0338 eV/atom

extended XYZ file:
```
4
Lattice="4.342 0.000 0.000 2.171 3.761 0.000 2.171 1.254 3.545" Properties=species:S:1:pos:R:3 pbc="T T T"
Ni 6.513 3.761 2.659
Cu 2.171 1.254 0.886
Ga 4.342 2.507 1.773
Cd 0.000 0.000 0.000
```



First-principles (GGA-PBE) data for a relaxed LiTe4Pd crystal, as listed in the Alexandria database.

Computed properties:
Crystal system ... monoclinic
Distance to the lowest polymorph of the same formula ... 0.005 eV/atom
ΔE_f (raw) ... -0.32 eV/atom

extended XYZ file:
```
12
Lattice="6.278 -0.638 0.936 1.677 6.084 0.936 1.060 0.726 8.329" Properties=species:S:1:pos:R:3 pbc="T T T"
Li 1.369 3.405 4.632
Li 3.139 -0.319 0.468
Te 6.096 3.965 3.440
Te 3.599 5.265 5.090
Te 5.416 0.906 5.110
Te 6.432 4.611 7.604
Te 2.583 1.560 2.596
Te 2.275 4.358 0.946
Te 6.741 1.813 9.254
Te 2.919 2.207 6.760
Pd 7.065 -0.082 7.182
Pd 1.950 6.253 3.018
```



First-principles (GGA-PBE) data for a relaxed SrCr2CoSn crystal, as listed in the Alexandria database.

Computed properties:
Crystal system ... tetragonal
Formation energy from the elements ... 1.3278 eV/atom

extended XYZ file:
```
5
Lattice="5.167 0.000 0.000 0.000 6.164 0.000 0.000 0.000 5.167" Properties=species:S:1:pos:R:3 pbc="T T T"
Sr 0.000 3.082 0.000
Co 2.583 3.082 2.583
Sn 0.000 0.000 0.000
Cr 0.000 0.000 2.583
Cr 2.583 0.000 0.000
```



First-principles (GGA-PBE) data for a relaxed Dy2CdRuC crystal, as listed in the Alexandria database.

Computed properties:
Crystal system ... tetragonal
Formation energy from the elements ... -0.3983 eV/atom

extended XYZ file:
```
5
Lattice="-0.077 0.991 3.807 3.845 -3.113 0.888 3.236 3.738 -0.907" Properties=species:S:1:pos:R:3 pbc="T T T"
Dy 1.618 1.869 -0.454
Dy 1.922 -1.557 0.444
Cd 3.502 0.808 1.894
Ru -0.039 0.495 1.904
C 0.000 0.000 0.000
```



First-principles (GGA-PBE) data for a relaxed HfZnI3 crystal, as listed in the Alexandria database.

Computed properties:
Crystal system ... cubic
Distance to the lowest polymorph of the same formula ... 0.000 eV/atom
ΔE_f (raw) ... -0.24 eV/atom

extended XYZ file:
```
5
Lattice="-5.552 -1.281 0.372 -0.128 -1.074 -5.607 1.327 -5.460 1.016" Properties=species:S:1:pos:R:3 pbc="T T T"
I -0.064 -0.537 -2.803
I 0.664 -2.730 0.508
I -2.776 -0.640 0.186
Zn -2.176 -3.907 -2.109
Hf 0.000 0.000 0.000
```



First-principles (GGA-PBE) data for a relaxed SiRhBr2 crystal, as listed in the Alexandria database.

Computed properties:
Crystal system ... tetragonal
Distance to the lowest polymorph of the same formula ... 0.815 eV/atom
ΔE_f (raw) ... 0.63 eV/atom

extended XYZ file:
```
4
Lattice="4.740 0.009 0.000 -0.010 4.740 0.000 0.000 0.000 3.436" Properties=species:S:1:pos:R:3 pbc="T T T"
Br 0.000 0.000 0.000
Br 2.365 2.374 0.000
Rh 2.370 0.004 1.718
Si -0.005 2.370 1.718
```